Entry i
# Mg2AgWO6

Mg2AgWO6 after structural relaxation (PBE+U, Alexandria via LeMat-Bulk).

abc: 5.2440 5.3763 9.8997
angles: 90.00 121.30 90.00
Element x y z (fractional)
1 Mg 0.2136 0.0232 0.2122
2 Mg 0.2136 0.4768 0.7122
3 Mg 0.7864 0.5232 0.2878
4 Mg 0.7864 0.9768 0.7878
5 Ag 0.0000 0.0000 0.5000
6 Ag 0.0000 0.5000 0.0000
7 W 0.5000 0.0000 0.0000
8 W 0.5000 0.5000 0.5000
9 O 0.1534 0.1662 0.9754
10 O 0.1534 0.3338 0.4754
11 O 0.2143 0.7320 0.8701
12 O 0.2143 0.7680 0.3701
13 O 0.4534 0.1572 0.8114
14 O 0.4534 0.3428 0.3114
15 O 0.5466 0.6572 0.6886
16 O 0.5466 0.8428 0.1886
17 O 0.7857 0.2320 0.6299
18 O 0.7857 0.2680 0.1299
19 O 0.8466 0.6662 0.5246
20 O 0.8466 0.8338 0.0246

Properties
Calculated volume   119 Å³/f.u.
M_tot   0.8 μB per formula unit
Symmetry   P2_1/c (14)

***

Entry ii
# Mg2AgWO6

Mg2AgWO6 after structural relaxation (PBE+U, Alexandria via LeMat-Bulk).

abc: 5.2075 5.4012 5.5915
angles: 63.81 89.45 61.37
Element x y z (fractional)
1 Mg 0.0000 0.0000 0.0000
2 Mg 0.4788 0.0228 0.4784
3 Ag 0.2139 0.5736 0.6241
4 W 0.7005 0.5977 0.0903
5 O 0.0693 0.4795 0.2989
6 O 0.3093 0.8077 0.8087
7 O 0.4287 0.7839 0.2890
8 O 0.6528 0.0141 0.8275
9 O 0.7351 0.1864 0.2560
10 O 0.8986 0.4638 0.8269

Properties
Calculated volume   120 Å³/f.u.
M_tot   1.0 μB per formula unit
Symmetry   P1 (1)

***

Which of them is most stable? Easy: entry ii.